[1]
A relaxed RbNdAu3Se4 crystal. Source: OQMD via LeMat-Bulk, functional PBE.

Output
Crystal system ... cubic
Total DFT energy (no corrections) ... -3.771 eV/atom

CIF file:
```
data_RbNdAu3Se4
_symmetry_space_group_name_H-M 'P -4 3 m'
_symmetry_Int_Tables_number 215
_symmetry_space_group_name_Hall 'P -4 2 3'
_cell_length_a 6.6327
_cell_length_b 6.6327
_cell_length_c 6.6327
_cell_angle_alpha 90.00
_cell_angle_beta 90.00
_cell_angle_gamma 90.00
loop_
_atom_site_label
_atom_site_fract_x
_atom_site_fract_y
_atom_site_fract_z
Rb1 0.0000 0.0000 0.0000
Nd1 0.5000 0.5000 0.5000
Au1 0.0000 0.5000 0.5000
Se1 0.2647 0.2647 0.2647
```



[2]
A relaxed Nd3AuS6 crystal. Source: OQMD via LeMat-Bulk, functional PBE.

Output
Crystal system ... triclinic
Total DFT energy (no corrections) ... -5.725 eV/atom

CIF file:
```
data_Nd3AuS6
_symmetry_space_group_name_H-M 'P -1'
_symmetry_Int_Tables_number 2
_cell_length_a 4.4280
_cell_length_b 6.8340
_cell_length_c 8.5669
_cell_angle_alpha 90.63
_cell_angle_beta 102.35
_cell_angle_gamma 95.71
loop_
_symmetry_equiv_pos_as_xyz
'x,y,z'
'-x,-y,-z'
loop_
_atom_site_label
_atom_site_fract_x
_atom_site_fract_y
_atom_site_fract_z
Nd1 0.0000 0.0000 0.0000
Nd2 0.3704 0.4562 0.7260
Au1 0.0000 0.0000 0.5000
S1 0.1441 0.3089 0.3894
S2 0.1705 0.8207 0.2999
S3 0.4532 0.7380 0.9783
```



[3]
A relaxed NdSnAuSeS2 crystal. Source: OQMD via LeMat-Bulk, functional PBE.

Output
Crystal system ... orthorhombic
Total DFT energy (no corrections) ... -4.852 eV/atom

CIF file:
```
data_NdSnAuSeS2
_symmetry_space_group_name_H-M 'C m c m'
_symmetry_Int_Tables_number 63
_symmetry_space_group_name_Hall '-C 2c 2'
_cell_length_a 4.0520
_cell_length_b 13.3518
_cell_length_c 10.9605
_cell_angle_alpha 90.00
_cell_angle_beta 90.00
_cell_angle_gamma 90.00
loop_
_atom_site_label
_atom_site_fract_x
_atom_site_fract_y
_atom_site_fract_z
Nd1 0.0000 0.0000 0.0000
Sn1 0.0000 0.2253 0.2500
Au1 0.0000 0.4662 0.7500
Se1 0.0000 0.1018 0.7500
S1 0.0000 0.3576 0.5646
```



[4]
A relaxed SrNdAuSe2S crystal. Source: OQMD via LeMat-Bulk, functional PBE.

Output
Crystal system ... orthorhombic
Total DFT energy (no corrections) ... -4.972 eV/atom

CIF file:
```
data_SrNdAuSe2S
_symmetry_space_group_name_H-M 'C m c m'
_symmetry_Int_Tables_number 63
_symmetry_space_group_name_Hall '-C 2c 2'
_cell_length_a 4.1948
_cell_length_b 13.8048
_cell_length_c 10.6491
_cell_angle_alpha 90.00
_cell_angle_beta 90.00
_cell_angle_gamma 90.00
loop_
_atom_site_label
_atom_site_fract_x
_atom_site_fract_y
_atom_site_fract_z
Sr1 0.0000 0.2423 0.2500
Nd1 0.0000 0.5000 0.0000
Au1 0.0000 0.0269 0.7500
Se1 0.0000 0.1490 0.5605
S1 0.0000 0.4154 0.7500
```



[5]
A relaxed SrNdAuSeS2 crystal. Source: OQMD via LeMat-Bulk, functional PBE.

Output
Crystal system ... orthorhombic
Total DFT energy (no corrections) ... -5.086 eV/atom

CIF file:
```
data_SrNdAuSeS2
_symmetry_space_group_name_H-M 'C m c m'
_symmetry_Int_Tables_number 63
_symmetry_space_group_name_Hall '-C 2c 2'
_cell_length_a 4.1020
_cell_length_b 13.7899
_cell_length_c 10.8570
_cell_angle_alpha 90.00
_cell_angle_beta 90.00
_cell_angle_gamma 90.00
loop_
_atom_site_label
_atom_site_fract_x
_atom_site_fract_y
_atom_site_fract_z
Sr1 0.0000 0.2323 0.2500
Nd1 0.0000 0.0000 0.0000
Au1 0.0000 0.4722 0.7500
Se1 0.0000 0.0985 0.7500
S1 0.0000 0.3622 0.5665
```



[6]
A relaxed NdSnTe2AuS crystal. Source: OQMD via LeMat-Bulk, functional PBE.

Output
Crystal system ... orthorhombic
Total DFT energy (no corrections) ... -4.478 eV/atom

CIF file:
```
data_NdSnTe2AuS
_symmetry_space_group_name_H-M 'C m c m'
_symmetry_Int_Tables_number 63
_symmetry_space_group_name_Hall '-C 2c 2'
_cell_length_a 4.3123
_cell_length_b 14.6284
_cell_length_c 10.4933
_cell_angle_alpha 90.00
_cell_angle_beta 90.00
_cell_angle_gamma 90.00
loop_
_atom_site_label
_atom_site_fract_x
_atom_site_fract_y
_atom_site_fract_z
Nd1 0.0000 0.0000 0.0000
Sn1 0.0000 0.2747 0.2500
Te1 0.0000 0.3442 0.5630
Au1 0.0000 0.4790 0.7500
S1 0.0000 0.0836 0.7500
```



[7]
A relaxed SrNdAuS3 crystal. Source: OQMD via LeMat-Bulk, functional PBE.

Output
Crystal system ... monoclinic
Energy above the lowest structure with this stoichiometry ... 0.016 eV/atom

CIF file:
```
data_SrNdAuS3
_symmetry_space_group_name_H-M 'P 1 21/m 1'
_symmetry_Int_Tables_number 11
_cell_length_a 7.9640
_cell_length_b 4.0634
_cell_length_c 9.5218
_cell_angle_alpha 90.00
_cell_angle_beta 104.04
_cell_angle_gamma 90.00
loop_
_symmetry_equiv_pos_as_xyz
'x,y,z'
'-x,-y,-z'
'-x,y+1/2,-z'
'x,-y+1/2,z'
loop_
_atom_site_label
_atom_site_fract_x
_atom_site_fract_y
_atom_site_fract_z
Sr1 0.2332 0.2500 0.2765
Nd1 0.3091 0.7500 0.8386
Au1 0.1149 0.2500 0.5893
S1 0.0589 0.2500 0.8398
S2 0.2838 0.7500 0.5312
S3 0.4315 0.7500 0.1455
```



[8]
A relaxed SrNdAuS3 crystal. Source: OQMD via LeMat-Bulk, functional PBE.

Output
Crystal system ... orthorhombic
Energy above the lowest structure with this stoichiometry ... 0.000 eV/atom

CIF file:
```
data_SrNdAuS3
_symmetry_space_group_name_H-M 'C m c m'
_symmetry_Int_Tables_number 63
_symmetry_space_group_name_Hall '-C 2c 2'
_cell_length_a 4.0856
_cell_length_b 13.4032
_cell_length_c 10.5795
_cell_angle_alpha 90.00
_cell_angle_beta 90.00
_cell_angle_gamma 90.00
loop_
_atom_site_label
_atom_site_fract_x
_atom_site_fract_y
_atom_site_fract_z
Sr1 0.0000 0.2471 0.2500
Nd1 0.0000 0.0000 0.0000
Au1 0.0000 0.4707 0.7500
S1 0.0000 0.0904 0.7500
S2 0.0000 0.3567 0.5630
```



[9]
A relaxed SrNdAuS3 crystal. Source: OQMD via LeMat-Bulk, functional PBE.

Output
Crystal system ... orthorhombic
Energy above the lowest structure with this stoichiometry ... 0.026 eV/atom

CIF file:
```
data_SrNdAuS3
_symmetry_space_group_name_H-M 'P n m a'
_symmetry_Int_Tables_number 62
_cell_length_a 11.7808
_cell_length_b 4.1751
_cell_length_c 11.5223
_cell_angle_alpha 90.00
_cell_angle_beta 90.00
_cell_angle_gamma 90.00
loop_
_symmetry_equiv_pos_as_xyz
'x,y,z'
'-x,-y,-z'
'-x+1/2,-y,z+1/2'
'x+1/2,y,-z+1/2'
'x+1/2,-y+1/2,-z+1/2'
'-x+1/2,y+1/2,z+1/2'
'-x,y+1/2,-z'
'x,-y+1/2,z'
loop_
_atom_site_label
_atom_site_fract_x
_atom_site_fract_y
_atom_site_fract_z
Sr1 0.1831 0.2500 0.0152
Nd1 0.0081 0.2500 0.3256
Au1 0.2157 0.7500 0.2539
S1 0.0360 0.7500 0.1458
S2 0.1137 0.2500 0.5558
S3 0.1993 0.7500 0.8190
```



[10]
A relaxed NdSb2Au crystal. Source: OQMD via LeMat-Bulk, functional PBE.

Output
Crystal system ... tetragonal
Total DFT energy (no corrections) ... -4.781 eV/atom

CIF file:
```
data_NdSb2Au
_symmetry_space_group_name_H-M 'P 4/n m m'
_symmetry_Int_Tables_number 129
_cell_length_a 4.4458
_cell_length_b 4.4458
_cell_length_c 10.2991
_cell_angle_alpha 90.00
_cell_angle_beta 90.00
_cell_angle_gamma 90.00
loop_
_symmetry_equiv_pos_as_xyz
'x,y,z'
'-x,-y,-z'
'-y+1/2,x,z'
'y+1/2,-x,-z'
'-x+1/2,-y+1/2,z'
'x+1/2,y+1/2,-z'
'y,-x+1/2,z'
'-y,x+1/2,-z'
'x+1/2,-y,-z'
'-x+1/2,y,z'
'-y,-x,-z'
'y,x,z'
'-x,y+1/2,-z'
'x,-y+1/2,z'
'y+1/2,x+1/2,-z'
'-y+1/2,-x+1/2,z'
loop_
_atom_site_label
_atom_site_fract_x
_atom_site_fract_y
_atom_site_fract_z
Nd1 0.2500 0.2500 0.2458
Sb1 0.2500 0.2500 0.6805
Sb2 0.2500 0.7500 0.0000
Au1 0.2500 0.7500 0.5000
```



[11]
A relaxed Nd3Sb4Au3 crystal. Source: OQMD via LeMat-Bulk, functional PBE.

Output
Crystal system ... cubic
Total DFT energy (no corrections) ... -4.940 eV/atom

CIF file:
```
data_Nd3Sb4Au3
_symmetry_space_group_name_H-M 'I -4 3 d'
_symmetry_Int_Tables_number 220
_symmetry_space_group_name_Hall 'I -4bd 2c 3'
_cell_length_a 10.0803
_cell_length_b 10.0803
_cell_length_c 10.0803
_cell_angle_alpha 90.00
_cell_angle_beta 90.00
_cell_angle_gamma 90.00
loop_
_atom_site_label
_atom_site_fract_x
_atom_site_fract_y
_atom_site_fract_z
Nd1 0.0000 0.2500 0.8750
Sb1 0.0876 0.4124 0.5876
Au1 0.0000 0.2500 0.3750
```



[12]
A relaxed NdScAu6 crystal. Source: OQMD via LeMat-Bulk, functional PBE.

Output
Crystal system ... orthorhombic
E_form ... -0.642 eV per atom

CIF file:
```
data_NdScAu6
_symmetry_space_group_name_H-M 'P m m 2'
_symmetry_Int_Tables_number 25
_cell_length_a 4.9769
_cell_length_b 6.2252
_cell_length_c 5.1181
_cell_angle_alpha 90.00
_cell_angle_beta 90.00
_cell_angle_gamma 90.00
loop_
_symmetry_equiv_pos_as_xyz
'x,y,z'
'-x,-y,z'
'-x,y,z'
'x,-y,z'
loop_
_atom_site_label
_atom_site_fract_x
_atom_site_fract_y
_atom_site_fract_z
Nd1 0.0000 0.0000 0.0000
Sc1 0.5000 0.5000 0.3154
Au1 0.0000 0.2700 0.4973
Au2 0.0000 0.5000 0.0061
Au3 0.5000 0.0000 0.3491
Au4 0.5000 0.2647 0.8239
```